Run 1
Li5MnO4 | the Alexandria database | GGA+U | optimized geometry; calculated volume = 10.17 Å³/atom
1.0
-5.7615 -0.1021 -3.5428
-1.2719 -6.1030 2.2443
-2.2118 1.7650 3.5460
Li O Mn
10 8 2
Direct
0.0516 0.4907 0.7482
0.9484 0.9907 0.2518
0.7500 0.2500 0.8049
0.2500 0.7500 0.1951
0.4484 0.4907 0.7482
0.5516 0.9907 0.2518
0.0516 0.0093 0.7482
0.5516 0.5093 0.2518
0.4484 0.0093 0.7482
0.9484 0.5093 0.2518
0.4988 0.2500 0.0288
0.0012 0.2500 0.0288
0.2500 0.5039 0.4252
0.7500 0.0039 0.5748
0.9988 0.7500 0.9712
0.2500 0.9961 0.4252
0.7500 0.4961 0.5748
0.5012 0.7500 0.9712
0.7500 0.7500 0.7682
0.2500 0.2500 0.2318

Run 2
Li5MnO4 | the Alexandria database | GGA+U | optimized geometry; calculated volume = 10.13 Å³/atom
1.0
-2.3598 -1.9525 -5.8797
4.2849 -5.0402 -0.4334
-3.0283 -2.7579 2.1312
Li O Mn
10 8 2
Direct
0.7763 0.7199 0.8227
0.7199 0.7763 0.3227
0.9559 0.0380 0.2783
0.2763 0.2199 0.1773
0.9799 0.4799 0.2500
0.2199 0.2763 0.6773
0.0380 0.9559 0.7783
0.4559 0.5380 0.7217
0.5380 0.4559 0.2217
0.4799 0.9799 0.7500
0.4824 0.2666 0.8928
0.9824 0.7666 0.1072
0.2367 0.0064 0.4638
0.7367 0.5064 0.5362
0.5064 0.7367 0.0362
0.2666 0.4824 0.3928
0.0064 0.2367 0.9638
0.7666 0.9824 0.6072
0.7539 0.2539 0.7500
0.2539 0.7539 0.2500

Relative energy of each structure, in eV/atom: run 1 0.024; run 2 0.000.

Run 1
Li2MnO2 | the Alexandria database | GGA+U | optimized geometry; density of states at the Fermi level = 0.0 states/eV/f.u.; calculated volume = 10.78 Å³/atom
1.0
-2.7856 1.7107 -0.1714
-1.5377 -1.9111 2.1677
1.3007 2.9546 3.8809
Li Mn O
2 1 2
Direct
0.7421 0.2579 0.5000
0.2579 0.7421 0.5000
0.0000 0.0000 0.0000
0.2618 0.2618 0.2847
0.7382 0.7382 0.7153

Run 2
Li2MnO2 | the Alexandria database | GGA+U | optimized geometry; density of states at the Fermi level = 0.6 states/eV/f.u.; calculated volume = 9.57 Å³/atom
1.0
-1.4844 -1.3884 -5.2708
5.4442 -0.1130 -1.5035
0.1402 -2.9059 0.7260
Li O Mn
4 4 2
Direct
0.6352 0.8648 0.5000
0.1352 0.6352 0.5000
0.8648 0.3648 0.5000
0.3648 0.1352 0.5000
0.8108 0.6892 0.0000
0.6892 0.1892 0.0000
0.1892 0.3108 0.0000
0.3108 0.8108 0.0000
0.0000 0.0000 0.0000
0.5000 0.5000 0.0000

Relative energy of each structure, in eV/atom: run 1 0.000; run 2 0.169.

Run 1
LiMn2O2 | the Alexandria database | GGA+U | optimized geometry; density of states at the Fermi level = 1.0 states/eV/f.u.; calculated volume = 16.79 Å³/atom
1.0
-3.0036 2.7272 -1.0209
-1.3279 -2.5880 -3.0067
-5.1368 -2.0337 1.1087
Mn O Li
2 2 1
Direct
0.2500 0.7500 0.5000
0.7500 0.2500 0.5000
0.1978 0.1978 0.6043
0.8022 0.8022 0.3957
0.0000 0.0000 0.0000

Run 2
LiMn2O2 | the Alexandria database | GGA+U | optimized geometry; density of states at the Fermi level = 0.3 states/eV/f.u.; calculated volume = 11.06 Å³/atom
1.0
-0.1726 -1.6443 -5.7189
-3.3019 -4.7333 1.4606
-2.5949 1.6849 -0.4061
O Li Mn
4 2 4
Direct
0.6633 0.1633 0.0000
0.8367 0.6633 0.0000
0.3367 0.8367 0.0000
0.1633 0.3367 0.0000
0.5000 0.5000 0.0000
0.0000 0.0000 0.0000
0.6640 0.8360 0.5000
0.8360 0.3360 0.5000
0.3360 0.1640 0.5000
0.1640 0.6640 0.5000

Run 3
LiMn2O2 | the Alexandria database | GGA+U | optimized geometry; density of states at the Fermi level = 1.4 states/eV/f.u.; calculated volume = 14.72 Å³/atom
1.0
4.0304 0.0000 0.0000
0.0000 4.0304 0.0000
2.0152 2.0152 4.5297
O Mn Li
2 2 1
Direct
0.2500 0.7500 0.5000
0.7500 0.2500 0.5000
0.3233 0.3233 0.3534
0.6767 0.6767 0.6466
0.0000 0.0000 0.0000

Relative energy of each structure, in eV/atom: run 1 0.000; run 2 0.113; run 3 0.174.

Run 1
LiMn2O2 | the Alexandria database | GGA+U | optimized geometry; density of states at the Fermi level = 0.6 states/eV/f.u.; calculated volume = 14.42 Å³/atom
1.0
3.2215 0.0000 0.0000
-1.6107 2.7899 0.0000
0.0000 0.0000 8.0210
O Li Mn
2 1 2
Direct
0.6667 0.3333 0.3942
0.3333 0.6667 0.7760
0.0000 0.0000 0.9129
0.3333 0.6667 0.2717
0.6667 0.3333 0.6453

Run 2
LiMn2O2 | the Alexandria database | GGA+U | optimized geometry; density of states at the Fermi level = 0.8 states/eV/f.u.; calculated volume = 12.27 Å³/atom
1.0
5.4213 0.0000 0.5266
0.0000 5.9967 0.0000
-0.0342 0.0000 7.5440
Mn O Li
8 8 4
Direct
0.9307 0.6228 0.3412
0.2514 0.1254 0.0098
0.7514 0.3746 0.0098
0.0693 0.3772 0.6588
0.4307 0.8772 0.3412
0.2486 0.6254 0.9902
0.7486 0.8746 0.9902
0.5693 0.1228 0.6588
0.0812 0.3785 0.1542
0.5812 0.1215 0.1542
0.7534 0.8759 0.4865
0.4188 0.8785 0.8458
0.9188 0.6215 0.8458
0.2534 0.6241 0.4865
0.2466 0.1241 0.5135
0.7466 0.3759 0.5135
0.5747 0.6385 0.6350
0.4253 0.3615 0.3650
0.0747 0.8615 0.6350
0.9253 0.1385 0.3650

Relative energy of each structure, in eV/atom: run 1 0.069; run 2 0.000.